Density functional theory data (PBE-GGA) for crystalline Pm6Nd8Cd at its relaxed geometry.

Structure (CIF):
```
data_Pm6Nd8Cd
_chemical_formula_sum 'Pm6 Nd8 Cd1'
_cell_length_a 9.5496
_cell_length_b 9.5496
_cell_length_c 6.5575
_cell_angle_alpha 90.00
_cell_angle_beta 90.00
_cell_angle_gamma 120.00
_symmetry_space_group_name_H-M 'P 1'
_symmetry_Int_Tables_number 1
_symmetry_space_group_name_Hall 'P 1'
loop_
_atom_site_label
_atom_site_fract_x
_atom_site_fract_y
_atom_site_fract_z
_atom_site_occupancy
Pm1 0.0934 0.6440 0.1736 1
Pm2 0.3560 0.4494 0.1736 1
Pm3 0.4494 0.0934 0.8264 1
Pm4 0.5506 0.9066 0.1736 1
Pm5 0.6440 0.5506 0.8264 1
Pm6 0.9066 0.3560 0.8264 1
Nd1 0.0407 0.7731 0.6844 1
Nd2 0.2269 0.2677 0.6844 1
Nd3 0.2677 0.0407 0.3156 1
Nd4 0.3333 0.6667 0.6468 1
Nd5 0.6667 0.3333 0.3532 1
Nd6 0.7323 0.9593 0.6844 1
Nd7 0.7731 0.7323 0.3156 1
Nd8 0.9593 0.2269 0.3156 1
Cd1 0.0000 0.0000 0.0000 1
```

Values from the calculation:
- Formation enthalpy at 0 K: 0.078 eV per atom
- Crystal system: trigonal
- Space-group type: P-3 (147)
- Total moment: 0.0 μB per cell

***

Density functional theory data (PBE-GGA) for crystalline KCr2Mo at its relaxed geometry.

Structure (CIF):
```
data_KCr2Mo
_chemical_formula_sum 'K4 Cr8 Mo4'
_cell_length_a 5.6856
_cell_length_b 5.6856
_cell_length_c 15.3288
_cell_angle_alpha 90.00
_cell_angle_beta 90.00
_cell_angle_gamma 90.00
_symmetry_space_group_name_H-M 'P 1'
_symmetry_Int_Tables_number 1
_symmetry_space_group_name_Hall 'P 1'
loop_
_atom_site_label
_atom_site_fract_x
_atom_site_fract_y
_atom_site_fract_z
_atom_site_occupancy
K1 0.0000 0.2500 0.3750 1
K2 0.0000 0.7500 0.6250 1
K3 0.5000 0.2500 0.1250 1
K4 0.5000 0.7500 0.8750 1
Cr1 0.0000 0.0000 0.0000 1
Cr2 0.0000 0.5000 0.0000 1
Cr3 0.2500 0.2500 0.7500 1
Cr4 0.2500 0.7500 0.2500 1
Cr5 0.5000 0.0000 0.5000 1
Cr6 0.5000 0.5000 0.5000 1
Cr7 0.7500 0.2500 0.7500 1
Cr8 0.7500 0.7500 0.2500 1
Mo1 0.0000 0.2500 0.8750 1
Mo2 0.0000 0.7500 0.1250 1
Mo3 0.5000 0.2500 0.6250 1
Mo4 0.5000 0.7500 0.3750 1
```

Values from the calculation:
- Formation enthalpy at 0 K: 1.554 eV per atom
- Crystal system: tetragonal
- Space-group type: I4_1/amd (141)
- Total moment: 22.2 μB per cell

***

Density functional theory data (PBE-GGA) for crystalline SbAsBr2 at its relaxed geometry.

Structure (CIF):
```
data_SbAsBr2
_chemical_formula_sum 'Sb4 As4 Br8'
_cell_length_a 7.2723
_cell_length_b 7.2723
_cell_length_c 7.2723
_cell_angle_alpha 90.00
_cell_angle_beta 90.00
_cell_angle_gamma 90.00
_symmetry_space_group_name_H-M 'P 1'
_symmetry_Int_Tables_number 1
_symmetry_space_group_name_Hall 'P 1'
loop_
_atom_site_label
_atom_site_fract_x
_atom_site_fract_y
_atom_site_fract_z
_atom_site_occupancy
Sb1 0.0000 0.0000 0.0000 1
Sb2 0.0000 0.5000 0.5000 1
Sb3 0.5000 0.0000 0.5000 1
Sb4 0.5000 0.5000 0.0000 1
As1 0.2500 0.2500 0.7500 1
As2 0.2500 0.7500 0.2500 1
As3 0.7500 0.2500 0.2500 1
As4 0.7500 0.7500 0.7500 1
Br1 0.0000 0.0000 0.5000 1
Br2 0.0000 0.5000 0.0000 1
Br3 0.2500 0.2500 0.2500 1
Br4 0.2500 0.7500 0.7500 1
Br5 0.5000 0.0000 0.0000 1
Br6 0.5000 0.5000 0.5000 1
Br7 0.7500 0.2500 0.7500 1
Br8 0.7500 0.7500 0.2500 1
```

Values from the calculation:
- Crystal system: cubic
- Space-group type: F-43m (216)
- E_form (uncorrected): 0.2487 eV per atom
- Total moment: 0.0 μB per cell

***

Density functional theory data (PBE-GGA) for crystalline Ca2NiW at its relaxed geometry.

Structure (CIF):
```
data_Ca2NiW
_chemical_formula_sum 'Ca4 Ni2 W2'
_cell_length_a 3.2228
_cell_length_b 5.1680
_cell_length_c 10.8422
_cell_angle_alpha 90.00
_cell_angle_beta 90.00
_cell_angle_gamma 90.00
_symmetry_space_group_name_H-M 'P 1'
_symmetry_Int_Tables_number 1
_symmetry_space_group_name_Hall 'P 1'
loop_
_atom_site_label
_atom_site_fract_x
_atom_site_fract_y
_atom_site_fract_z
_atom_site_occupancy
Ca1 0.0000 0.0000 0.0000 1
Ca2 0.0000 0.5000 0.2058 1
Ca3 0.5000 0.0000 0.7058 1
Ca4 0.5000 0.5000 0.5000 1
Ni1 0.0000 0.5000 0.7464 1
Ni2 0.5000 0.0000 0.2464 1
W1 0.0000 0.0000 0.4078 1
W2 0.5000 0.5000 0.9078 1
```

Values from the calculation:
- Formation enthalpy at 0 K: 0.555 eV per atom
- Crystal system: orthorhombic
- Space-group type: Imm2 (44)
- Total moment: 2.9 μB per cell

***

Density functional theory data (PBE-GGA) for crystalline Rb2NaHg3F8 at its relaxed geometry.

Structure (CIF):
```
data_Rb2NaHg3F8
_chemical_formula_sum 'Rb2 Na1 Hg3 F8'
_cell_length_a 7.7416
_cell_length_b 7.7416
_cell_length_c 7.7416
_cell_angle_alpha 53.71
_cell_angle_beta 53.71
_cell_angle_gamma 53.71
_symmetry_space_group_name_H-M 'P 1'
_symmetry_Int_Tables_number 1
_symmetry_space_group_name_Hall 'P 1'
loop_
_atom_site_label
_atom_site_fract_x
_atom_site_fract_y
_atom_site_fract_z
_atom_site_occupancy
Rb1 0.0000 0.0000 0.0000 1
Rb2 0.3529 0.3529 0.3529 1
Na1 0.7464 0.7464 0.7464 1
Hg1 0.3788 0.3788 0.8290 1
Hg2 0.3788 0.8290 0.3788 1
Hg3 0.8290 0.3788 0.3788 1
F1 0.0955 0.0955 0.5647 1
F2 0.0955 0.5647 0.0955 1
F3 0.1294 0.6100 0.6100 1
F4 0.1381 0.1381 0.1381 1
F5 0.5647 0.0955 0.0955 1
F6 0.6100 0.1294 0.6100 1
F7 0.6100 0.6100 0.1294 1
F8 0.6266 0.6266 0.6266 1
```

Values from the calculation:
- Crystal system: trigonal
- Space-group type: R3m (160)
- E_form (uncorrected): -1.8784 eV per atom
- Total moment: 0.0 μB per cell

***

Density functional theory data (PBE-GGA) for crystalline AcTb2NdY at its relaxed geometry.

Structure (CIF):
```
data_AcTb2NdY
_chemical_formula_sum 'Ac2 Tb4 Nd2 Y2'
_cell_length_a 9.3402
_cell_length_b 9.3402
_cell_length_c 6.4950
_cell_angle_alpha 90.00
_cell_angle_beta 90.00
_cell_angle_gamma 138.77
_symmetry_space_group_name_H-M 'P 1'
_symmetry_Int_Tables_number 1
_symmetry_space_group_name_Hall 'P 1'
loop_
_atom_site_label
_atom_site_fract_x
_atom_site_fract_y
_atom_site_fract_z
_atom_site_occupancy
Ac1 0.1580 0.8420 0.7500 1
Ac2 0.8420 0.1580 0.2500 1
Tb1 0.2553 0.2553 0.0000 1
Tb2 0.2553 0.2553 0.5000 1
Tb3 0.7447 0.7447 0.0000 1
Tb4 0.7447 0.7447 0.5000 1
Nd1 0.3474 0.6526 0.7500 1
Nd2 0.6526 0.3474 0.2500 1
Y1 0.2704 0.7296 0.2500 1
Y2 0.7296 0.2704 0.7500 1
```

Values from the calculation:
- Formation enthalpy at 0 K: 0.372 eV per atom
- Crystal system: orthorhombic
- Space-group type: Cmcm (63)
- Total moment: 0.0 μB per cell